1.
# DyScIr4 PBE optimized geometry
# Size of the total moment = 0.00 μB/f.u.
# Energy of formation from the pure elements = -0.77 eV per atom
# Uncorrected energy = -204.04 eV per cell
# Density = 15.40 g cm⁻³
data_DyScIr4
_cell_length_a 7.4953
_cell_length_b 7.4953
_cell_length_c 7.4953
_cell_angle_alpha 90.00
_cell_angle_beta 90.00
_cell_angle_gamma 90.00
_symmetry_space_group_name_H-M 'F -4 3 m'
_symmetry_Int_Tables_number 216
_symmetry_space_group_name_Hall 'F -4 2 3'
loop_
_atom_site_label
_atom_site_fract_x
_atom_site_fract_y
_atom_site_fract_z
_atom_site_occupancy
Dy1 0.0000 0.0000 0.0000 1
Sc1 0.2500 0.2500 0.7500 1
Ir1 0.1248 0.1248 0.3752 1

---

2.
# Na3HgN PBE optimized geometry
# Distance to the lowest polymorph of the same formula = 0.000 eV per atom
# Size of the total moment = 0.00 μB/f.u.
# Uncorrected formation energy = 0.12 eV/atom
# Uncorrected energy = -11.99 eV per cell
# Density = 4.25 g cm⁻³
data_Na3HgN
_cell_length_a 4.8034
_cell_length_b 4.8034
_cell_length_c 4.8034
_cell_angle_alpha 90.00
_cell_angle_beta 90.00
_cell_angle_gamma 90.00
_symmetry_space_group_name_H-M 'P m -3 m'
_symmetry_Int_Tables_number 221
_symmetry_space_group_name_Hall '-P 4 2 3'
loop_
_atom_site_label
_atom_site_fract_x
_atom_site_fract_y
_atom_site_fract_z
_atom_site_occupancy
Na1 0.0000 0.0000 0.5000 1
Hg1 0.5000 0.5000 0.5000 1
N1 0.0000 0.0000 0.0000 1

---

3.
# V2ReRu5 PBE optimized geometry
# Size of the total moment = 0.00 μB/f.u.
# Energy of formation from the pure elements = -0.13 eV per atom
# Uncorrected energy = -156.26 eV per cell
# Density = 11.80 g cm⁻³
data_V2ReRu5
_cell_length_a 8.7103
_cell_length_b 5.4614
_cell_length_c 6.3972
_cell_angle_alpha 90.00
_cell_angle_beta 132.80
_cell_angle_gamma 90.00
_symmetry_space_group_name_H-M 'C 1 m 1'
_symmetry_Int_Tables_number 8
loop_
_symmetry_equiv_pos_as_xyz
'x,y,z'
'x,-y,z'
'x+1/2,y+1/2,z'
'x+1/2,-y+1/2,z'
loop_
_atom_site_label
_atom_site_fract_x
_atom_site_fract_y
_atom_site_fract_z
_atom_site_occupancy
V1 0.0000 0.0000 0.0000 1
V2 0.0575 0.5000 0.6411 1
Re1 0.4765 0.0000 0.9932 1
Ru1 0.0672 0.0000 0.6580 1
Ru2 0.2396 0.2514 0.5047 1
Ru3 0.3141 0.2543 0.1503 1

---

4.
# Tb5Sm4Th3 PBE optimized geometry
# Size of the total moment = 0.00 μB/f.u.
# Energy of formation from the pure elements = 0.27 eV per atom
# Uncorrected energy = -122.07 eV per cell
# Density = 8.61 g cm⁻³
data_Tb5Sm4Th3
_cell_length_a 15.9282
_cell_length_b 6.0257
_cell_length_c 9.2422
_cell_angle_alpha 90.00
_cell_angle_beta 114.52
_cell_angle_gamma 90.00
_symmetry_space_group_name_H-M 'C 1 2/m 1'
_symmetry_Int_Tables_number 12
loop_
_symmetry_equiv_pos_as_xyz
'x,y,z'
'-x,-y,-z'
'-x,y,-z'
'x,-y,z'
'x+1/2,y+1/2,z'
'-x+1/2,-y+1/2,-z'
'-x+1/2,y+1/2,-z'
'x+1/2,-y+1/2,z'
loop_
_atom_site_label
_atom_site_fract_x
_atom_site_fract_y
_atom_site_fract_z
_atom_site_occupancy
Tb1 0.0000 0.0000 0.0000 1
Tb2 0.0847 0.5000 0.4424 1
Tb3 0.2108 0.5000 0.8765 1
Sm1 0.0719 0.0000 0.6953 1
Sm2 0.2095 0.5000 0.2307 1
Th1 0.0000 0.5000 0.0000 1
Th2 0.1732 0.0000 0.3890 1

---

5.
# Al2CuSi PBE optimized geometry
# Size of the total moment = 0.00 μB/f.u.
# Uncorrected formation energy = 0.12 eV/atom
# Uncorrected energy = -33.06 eV per cell
# Density = 3.73 g cm⁻³
data_Al2CuSi
_cell_length_a 4.0368
_cell_length_b 4.0368
_cell_length_c 9.1744
_cell_angle_alpha 90.00
_cell_angle_beta 90.00
_cell_angle_gamma 120.00
_symmetry_space_group_name_H-M 'P -3 m 1'
_symmetry_Int_Tables_number 164
_symmetry_space_group_name_Hall '-P 3 2"'
loop_
_atom_site_label
_atom_site_fract_x
_atom_site_fract_y
_atom_site_fract_z
_atom_site_occupancy
Al1 0.3333 0.6667 0.0856 1
Al2 0.3333 0.6667 0.7335 1
Cu1 0.0000 0.0000 0.1431 1
Si1 0.3333 0.6667 0.4404 1

---

6.
# Rb2GePbF6 PBE optimized geometry
# Size of the total moment = 0.00 μB/f.u.
# Uncorrected formation energy = -2.47 eV/atom
# Uncorrected energy = -46.17 eV per cell
# Density = 4.44 g cm⁻³
data_Rb2GePbF6
_cell_length_a 6.4769
_cell_length_b 6.4786
_cell_length_c 6.5146
_cell_angle_alpha 64.35
_cell_angle_beta 64.11
_cell_angle_gamma 64.31
_symmetry_space_group_name_H-M 'P 1'
_symmetry_Int_Tables_number 1
loop_
_symmetry_equiv_pos_as_xyz
'x,y,z'
loop_
_atom_site_label
_atom_site_fract_x
_atom_site_fract_y
_atom_site_fract_z
_atom_site_occupancy
Rb1 0.0000 0.0000 0.0000 1
Rb2 0.4985 0.4985 0.4998 1
Ge1 0.7396 0.7389 0.7378 1
Pb1 0.2478 0.2469 0.2457 1
F1 0.1212 0.9216 0.4232 1
F2 0.4284 0.1207 0.9214 1
F3 0.4604 0.6183 0.9131 1
F4 0.6185 0.9137 0.4619 1
F5 0.9154 0.4595 0.6184 1
F6 0.9225 0.4289 0.1210 1

---

7.
# Hg2BrCl PBE optimized geometry
# Distance to the lowest polymorph of the same formula = 0.176 eV per atom
# Size of the total moment = 0.00 μB/f.u.
# Uncorrected formation energy = -0.17 eV/atom
# Uncorrected energy = -9.60 eV per cell
# Density = 6.86 g cm⁻³
data_Hg2BrCl
_cell_length_a 4.1249
_cell_length_b 4.1249
_cell_length_c 14.6895
_cell_angle_alpha 90.00
_cell_angle_beta 90.00
_cell_angle_gamma 90.00
_symmetry_space_group_name_H-M 'I -4 m 2'
_symmetry_Int_Tables_number 119
_symmetry_space_group_name_Hall 'I -4 -2'
loop_
_atom_site_label
_atom_site_fract_x
_atom_site_fract_y
_atom_site_fract_z
_atom_site_occupancy
Hg1 0.0000 0.0000 0.0000 1
Hg2 0.0000 0.5000 0.2500 1
Br1 0.0000 0.5000 0.7500 1
Cl1 0.0000 0.0000 0.5000 1

---

8.
# Tb5Ho2Mg5 PBE optimized geometry
# Distance to the lowest polymorph of the same formula = 0.000 eV per atom
# Size of the total moment = 0.00 μB/f.u.
# Energy of formation from the pure elements = -0.03 eV per atom
# Uncorrected energy = -81.39 eV per cell
# Density = 6.08 g cm⁻³
data_Tb5Ho2Mg5
_cell_length_a 17.0541
_cell_length_b 3.6180
_cell_length_c 12.1561
_cell_angle_alpha 90.00
_cell_angle_beta 114.90
_cell_angle_gamma 90.00
_symmetry_space_group_name_H-M 'C 1 2/m 1'
_symmetry_Int_Tables_number 12
loop_
_symmetry_equiv_pos_as_xyz
'x,y,z'
'-x,-y,-z'
'-x,y,-z'
'x,-y,z'
'x+1/2,y+1/2,z'
'-x+1/2,-y+1/2,-z'
'-x+1/2,y+1/2,-z'
'x+1/2,-y+1/2,z'
loop_
_atom_site_label
_atom_site_fract_x
_atom_site_fract_y
_atom_site_fract_z
_atom_site_occupancy
Tb1 0.0000 0.0000 0.0000 1
Tb2 0.0542 0.0000 0.7431 1
Tb3 0.1662 0.0000 0.5210 1
Ho1 0.1216 0.5000 0.2583 1
Mg1 0.0000 0.5000 0.5000 1
Mg2 0.1708 0.5000 0.0002 1
Mg3 0.2267 0.5000 0.7772 1

---

9.
# ErAl2Si2 PBE optimized geometry
# Size of the total moment = 0.00 μB/f.u.
# Uncorrected formation energy = -0.36 eV/atom
# Uncorrected energy = -24.70 eV per cell
# Density = 4.64 g cm⁻³
data_ErAl2Si2
_cell_length_a 4.1976
_cell_length_b 4.1976
_cell_length_c 6.5048
_cell_angle_alpha 90.00
_cell_angle_beta 90.00
_cell_angle_gamma 120.00
_symmetry_space_group_name_H-M 'P -3 m 1'
_symmetry_Int_Tables_number 164
_symmetry_space_group_name_Hall '-P 3 2"'
loop_
_atom_site_label
_atom_site_fract_x
_atom_site_fract_y
_atom_site_fract_z
_atom_site_occupancy
Er1 0.0000 0.0000 0.0000 1
Al1 0.3333 0.6667 0.6463 1
Si1 0.3333 0.6667 0.2561 1

---

10.
# PbSe2Cl PBE optimized geometry
# Distance to the lowest polymorph of the same formula = 0.417 eV per atom
# Size of the total moment = 0.00 μB/f.u.
# Uncorrected formation energy = -0.01 eV/atom
# Uncorrected energy = -50.22 eV per cell
# Density = 6.91 g cm⁻³
data_PbSe2Cl
_cell_length_a 7.2766
_cell_length_b 7.2766
_cell_length_c 7.2766
_cell_angle_alpha 90.00
_cell_angle_beta 90.00
_cell_angle_gamma 90.00
_symmetry_space_group_name_H-M 'F -4 3 m'
_symmetry_Int_Tables_number 216
_symmetry_space_group_name_Hall 'F -4 2 3'
loop_
_atom_site_label
_atom_site_fract_x
_atom_site_fract_y
_atom_site_fract_z
_atom_site_occupancy
Pb1 0.0000 0.0000 0.0000 1
Se1 0.0000 0.0000 0.5000 1
Se2 0.2500 0.2500 0.2500 1
Cl1 0.2500 0.2500 0.7500 1

---

11.
# La2Er7Tm3 PBE optimized geometry
# Distance to the lowest polymorph of the same formula = 0.050 eV per atom
# Size of the total moment = 0.00 μB/f.u.
# Energy of formation from the pure elements = 0.13 eV per atom
# Uncorrected energy = -107.31 eV per cell
# Density = 8.46 g cm⁻³
data_La2Er7Tm3
_cell_length_a 5.6516
_cell_length_b 37.7571
_cell_length_c 3.5963
_cell_angle_alpha 90.00
_cell_angle_beta 90.00
_cell_angle_gamma 90.00
_symmetry_space_group_name_H-M 'C m m m'
_symmetry_Int_Tables_number 65
_symmetry_space_group_name_Hall '-C 2 2'
loop_
_atom_site_label
_atom_site_fract_x
_atom_site_fract_y
_atom_site_fract_z
_atom_site_occupancy
La1 0.0000 0.1470 0.0000 1
Er1 0.0000 0.0000 0.0000 1
Er2 0.0000 0.0695 0.5000 1
Er3 0.0000 0.2305 0.0000 1
Er4 0.0000 0.4128 0.0000 1
Tm1 0.0000 0.3120 0.5000 1
Tm2 0.0000 0.5000 0.5000 1

---

12.
# PrBi4Rh PBE optimized geometry
# Size of the total moment = 0.00 μB/f.u.
# Energy of formation from the pure elements = -0.23 eV per atom
# Uncorrected energy = -58.11 eV per cell
# Density = 10.27 g cm⁻³
data_PrBi4Rh
_cell_length_a 9.1864
_cell_length_b 5.7307
_cell_length_c 6.6856
_cell_angle_alpha 90.00
_cell_angle_beta 97.02
_cell_angle_gamma 90.00
_symmetry_space_group_name_H-M 'P 1 21/c 1'
_symmetry_Int_Tables_number 14
loop_
_symmetry_equiv_pos_as_xyz
'x,y,z'
'-x,-y,-z'
'-x,y+1/2,-z+1/2'
'x,-y+1/2,z+1/2'
loop_
_atom_site_label
_atom_site_fract_x
_atom_site_fract_y
_atom_site_fract_z
_atom_site_occupancy
Pr1 0.0000 0.0000 0.0000 1
Bi1 0.1875 0.0095 0.5331 1
Bi2 0.3714 0.5291 0.6195 1
Rh1 0.5000 0.0000 0.5000 1